# TbMnPd14

Crystalline TbMnPd14 at its relaxed geometry (GGA-PBE, Alexandria via LeMat-Bulk).

Lattice parameters (Å, degrees): 5.654 5.654 7.960 90.00 90.00 90.00
Space group P4/mmm (No. 123)
Inequivalent atoms, fractional coordinates:
1 Tb 0.000 0.000 0.000 [1 per cell]
2 Mn 0.500 0.500 0.000 [1 per cell]
3 Pd 0.000 0.000 0.500 [1 per cell]
4 Pd 0.000 0.500 0.000 [2 per cell]
5 Pd 0.000 0.500 0.500 [2 per cell]
6 Pd 0.254 0.254 0.252 [8 per cell]
7 Pd 0.500 0.500 0.500 [1 per cell]

## Properties
DFT total energy, eV/atom: -5.65